NbCrS3 after structural relaxation. Source: Alexandria, functional GGA-PBE.

a = 4.500 Å, b = 4.500 Å, c = 4.500 Å
α = 90.00°, β = 90.00°, γ = 90.00°
Fractional coordinates of all 5 atoms:
Nb  0.000  0.000  0.000
Cr  0.500  0.500  0.500
S  0.000  0.500  0.500
S  0.500  0.000  0.500
S  0.500  0.500  0.000

**E_form (uncorrected)**: 205 meV/atom
**Excess energy over the best structure of this formula in the dataset**: 0.860 eV/atom
**Final energy**: -31.05 eV per cell
**SG**: Pm-3m
**D(E_F)**: 4.8 states/eV/f.u.